[1]
DyScCdGa, optimized geometry, DFT PBE-GGA; ΔE to the lowest computed polymorph = 26 meV per atom; ΔH_f (0 K) = -0.43 eV/atom; volume = 22.5 Å³ per atom
1.0
0.000 3.554 3.554
3.554 0.000 3.554
3.554 3.554 0.000
Dy Sc Cd Ga
1 1 1 1
Cartesian
0.000 0.000 0.000
3.554 3.554 3.554
1.777 1.777 1.777
5.332 5.332 5.332



[2]
Na2NpNi2Se4, optimized geometry, DFT PBE-GGA; raw formation energy = -7.411 eV/f.u.; volume = 21.7 Å³ per atom
1.0
7.184 -1.963 0.000
7.184 1.963 0.000
-2.715 0.000 6.919
Na Np Ni Se
2 1 2 4
Cartesian
1.710 0.000 0.475
9.942 0.000 6.444
-1.357 0.000 3.459
3.139 0.000 3.473
8.513 0.000 3.446
1.090 0.000 4.818
4.856 0.000 5.202
6.797 0.000 1.716
10.562 0.000 2.100



[3]
TaGeS3, optimized geometry, DFT PBE-GGA; ΔE to the lowest computed polymorph = 1410 meV per atom; raw formation energy = 3.589 eV/f.u.; volume = 19.2 Å³ per atom
1.0
4.575 0.000 0.000
0.000 4.575 0.000
0.000 0.000 4.575
Ta Ge S
1 1 3
Cartesian
0.000 0.000 0.000
2.287 2.287 2.287
0.000 2.287 2.287
2.287 0.000 2.287
2.287 2.287 0.000



Question: Which value of volume does entry 1 give?
Answer: 22.5 Å³ per atom